# 1
# BaAcSnHg PBE optimized geometry
# Formation energy, eV/atom: -0.55
data_BaAcSnHg
_cell_length_a 8.301
_cell_length_b 8.301
_cell_length_c 8.301
_cell_angle_alpha 90.00
_cell_angle_beta 90.00
_cell_angle_gamma 90.00
_space_group_name_H-M_alt 'F -4 3 m'
_space_group_IT_number 216
_space_group_name_Hall 'F -4 2 3'
loop_
_atom_site_label
_atom_site_type_symbol
_atom_site_fract_x
_atom_site_fract_y
_atom_site_fract_z
Ba1 Ba 0.000 0.000 0.000
Ac1 Ac 0.000 0.000 0.500
Sn1 Sn 0.250 0.250 0.250
Hg1 Hg 0.250 0.250 0.750

***

# 2
# AgBrN3 PBE optimized geometry
# Formation energy from raw total energies, meV/atom: 2745
data_AgBrN3
_cell_length_a 4.016
_cell_length_b 4.016
_cell_length_c 4.016
_cell_angle_alpha 90.00
_cell_angle_beta 90.00
_cell_angle_gamma 90.00
_space_group_name_H-M_alt 'P m -3 m'
_space_group_IT_number 221
_space_group_name_Hall '-P 4 2 3'
loop_
_atom_site_label
_atom_site_type_symbol
_atom_site_fract_x
_atom_site_fract_y
_atom_site_fract_z
Ag1 Ag 0.000 0.000 0.000
Br1 Br 0.500 0.500 0.500
N1 N 0.000 0.500 0.500